1.
First-principles (PBE) data for LiAc2In4Ga3 after structural relaxation, as listed in Alexandria.

abc: 4.6489 4.6489 11.7446
angles: 90.00 90.00 90.00
With the nearest neighbours (Å) after each atom.
Element x y z (fractional)
Li: 0.0000 0.0000 0.0000  4 In 2.76
Ac: 0.0000 0.5000 0.7502  6 Ga 3.52-3.74, 8 In 3.59-3.75, 2 Li 3.74
Ac: 0.5000 0.0000 0.2498  6 Ga 3.52-3.74, 8 In 3.59-3.75, 2 Li 3.74
In: 0.0000 0.0000 0.5000  4 Ga 2.87
In: 0.0000 0.5000 0.1272  3 Ga 2.70-2.76, 2 Li 2.76
In: 0.5000 0.0000 0.8728  3 Ga 2.70-2.76, 2 Li 2.76
In: 0.5000 0.5000 0.5000  4 Ga 2.87
Ga: 0.0000 0.5000 0.3572  5 In 2.70-2.87
Ga: 0.5000 0.0000 0.6428  5 In 2.70-2.87
Ga: 0.5000 0.5000 0.0000  4 In 2.76

Calculated values
As for the space group: P-4m2, No. 115. The calculation puts the density of states at the Fermi level at 3.9 states/eV/cell. Its formation energy is -0.383 eV per atom.

***

2.
First-principles (PBE) data for BaCdSi2 after structural relaxation, as listed in Alexandria.

abc: 14.9280 4.6321 11.5954
angles: 90.00 90.00 90.00
With the nearest neighbours (Å) after each atom.
Element x y z (fractional)
Ba: 0.0571 0.2500 0.2481  9 Si 3.29-3.62, 3 Cd 3.64-3.66
Ba: 0.1973 0.7500 0.9886  10 Si 3.35-3.51, 4 Cd 3.50-3.71
Ba: 0.3027 0.2500 0.4886  10 Si 3.35-3.51, 4 Cd 3.50-3.71
Ba: 0.4429 0.7500 0.7481  9 Si 3.29-3.62, 3 Cd 3.64-3.66
Ba: 0.5571 0.2500 0.2519  9 Si 3.29-3.62, 3 Cd 3.64-3.66
Ba: 0.6973 0.7500 0.5114  10 Si 3.35-3.51, 4 Cd 3.50-3.71
Ba: 0.8027 0.2500 0.0114  10 Si 3.35-3.51, 4 Cd 3.50-3.71
Ba: 0.9429 0.7500 0.7519  9 Si 3.29-3.62, 3 Cd 3.64-3.66
Cd: 0.0611 0.2500 0.5634  4 Si 2.80-2.89
Cd: 0.1955 0.7500 0.6865  5 Si 2.77-2.93
Cd: 0.3045 0.2500 0.1865  5 Si 2.77-2.93
Cd: 0.4389 0.7500 0.0634  4 Si 2.80-2.89
Cd: 0.5611 0.2500 0.9366  4 Si 2.80-2.89
Cd: 0.6955 0.7500 0.8135  5 Si 2.77-2.93
Cd: 0.8045 0.2500 0.3135  5 Si 2.77-2.93
Cd: 0.9389 0.7500 0.4366  4 Si 2.80-2.89
Si: 0.0246 0.2500 0.9677  3 Si 2.36-2.54
Si: 0.1113 0.2500 0.7970  2 Si 2.36-2.47
Si: 0.1311 0.7500 0.4623  1 Si 2.43
Si: 0.2231 0.7500 0.2896  2 Si 2.43-2.47
Si: 0.2769 0.2500 0.7896  2 Si 2.43-2.47
Si: 0.3689 0.2500 0.9623  1 Si 2.43
Si: 0.3887 0.7500 0.2970  2 Si 2.36-2.47
Si: 0.4754 0.7500 0.4677  3 Si 2.36-2.54
Si: 0.5246 0.2500 0.5323  3 Si 2.36-2.54
Si: 0.6113 0.2500 0.7030  2 Si 2.36-2.47
Si: 0.6311 0.7500 0.0377  1 Si 2.43
Si: 0.7231 0.7500 0.2104  2 Si 2.43-2.47
Si: 0.7769 0.2500 0.7104  2 Si 2.43-2.47
Si: 0.8689 0.2500 0.5377  1 Si 2.43
Si: 0.8887 0.7500 0.2030  2 Si 2.36-2.47
Si: 0.9754 0.7500 0.0323  3 Si 2.36-2.54

Calculated values
As for the space group: Pnma, No. 62. For the uncorrected formation energy, the calculation gives -271 meV per atom. The calculation puts the density of states at the Fermi level at 8.0 states/eV/cell.

***

3.
First-principles (PBE) data for Sn2Pd3Au after structural relaxation, as listed in Alexandria.

abc: 4.6286 4.6286 5.7603
angles: 90.00 90.00 120.00
With the nearest neighbours (Å) after each atom.
Element x y z (fractional)
Sn: 0.3333 0.6667 0.2069  8 Pd 2.72-2.93
Sn: 0.6667 0.3333 0.7931  8 Pd 2.72-2.93
Pd: 0.0000 0.0000 0.0000  2 Au 2.88, 6 Sn 2.93, 6 Pd 3.15
Pd: 0.3333 0.6667 0.7095  5 Sn 2.72-2.90, 3 Au 2.93
Pd: 0.6667 0.3333 0.2905  5 Sn 2.72-2.90, 3 Au 2.93
Au: 0.0000 0.0000 0.5000  8 Pd 2.88-2.93, 6 Sn 3.16

Calculated values
As for the space group: P-3m1, No. 164. For the relative energy among the computed polymorphs, the calculation gives 0.0000 eV per atom. The calculation puts the density of states at the Fermi level at 2.0 states/eV/cell. Its formation energy is -0.420 eV per atom.

***

4.
First-principles (PBE) data for RbBaCd4 after structural relaxation, as listed in Alexandria.

abc: 6.4773 6.4773 6.4773
angles: 60.00 60.00 60.00
With the nearest neighbours (Å) after each atom.
Element x y z (fractional)
Rb: 0.0000 0.0000 0.0000  12 Cd 3.80, 4 Ba 3.97
Ba: 0.2500 0.2500 0.2500  12 Cd 3.80, 4 Rb 3.97
Cd: 0.1254 0.6249 0.6249  6 Cd 3.24
Cd: 0.6249 0.1254 0.6249  6 Cd 3.24
Cd: 0.6249 0.6249 0.1254  6 Cd 3.24
Cd: 0.6249 0.6249 0.6249  6 Cd 3.24

Calculated values
As for the space group: F-43m, No. 216. For the relative energy among the computed polymorphs, the calculation gives 0.0248 eV per atom. The calculation puts the density of states at the Fermi level at 5.7 states/eV/cell. Its formation energy is -0.142 eV per atom.

***

5.
First-principles (PBE) data for Cs2Rb4H after structural relaxation, as listed in Alexandria.

abc: 6.3174 6.3174 27.3498
angles: 90.00 90.00 90.00
With the nearest neighbours (Å) after each atom.
Element x y z (fractional)
Cs: 0.0000 0.0000 0.1914  5 Rb 4.96-5.36, 4 Cs 5.50
Cs: 0.0000 0.0000 0.8086  5 Rb 4.96-5.36, 4 Cs 5.50
Cs: 0.5000 0.5000 0.3086  5 Rb 4.96-5.36, 4 Cs 5.50
Cs: 0.5000 0.5000 0.6914  5 Rb 4.96-5.36, 4 Cs 5.50
Rb: 0.0000 0.0000 0.3874  1 H 3.08
Rb: 0.0000 0.0000 0.6126  1 H 3.08
Rb: 0.0000 0.5000 0.0000  2 H 3.16
Rb: 0.0000 0.5000 0.5000  2 H 3.16
Rb: 0.5000 0.0000 0.0000  2 H 3.16
Rb: 0.5000 0.0000 0.5000  2 H 3.16
Rb: 0.5000 0.5000 0.1126  1 H 3.08
Rb: 0.5000 0.5000 0.8874  1 H 3.08
H: 0.0000 0.0000 0.5000  6 Rb 3.08-3.16
H: 0.5000 0.5000 0.0000  6 Rb 3.08-3.16

Calculated values
As for the space group: I4/mmm, No. 139. As for the total energy: -17.50 eV/cell. The calculation puts the density of states at the Fermi level at 12.9 states/eV/cell.

***

6.
First-principles (PBE) data for NpGe2Os after structural relaxation, as listed in Alexandria.

abc: 3.0981 3.0981 7.3208
angles: 90.00 90.00 90.00
With the nearest neighbours (Å) after each atom.
Element x y z (fractional)
Np: 0.0000 0.0000 0.0000  8 Ge 3.08, 4 Np 3.10
Ge: 0.5000 0.5000 0.2949  4 Os 2.66
Ge: 0.5000 0.5000 0.7051  4 Os 2.66
Os: 0.0000 0.0000 0.5000  8 Ge 2.66

Calculated values
As for the space group: P4/mmm, No. 123. The calculation puts the density of states at the Fermi level at 6.1 states/eV/cell. Its formation energy is 0.022 eV per atom.

***

7.
First-principles (PBE) data for Na2Pt after structural relaxation, as listed in Alexandria.

abc: 2.7996 16.7846 5.0559
angles: 90.00 90.00 90.00
With the nearest neighbours (Å) after each atom.
Element x y z (fractional)
Na: 0.0000 0.0454 0.2500  4 Na 2.80-2.95, 2 Pt 3.13
Na: 0.0000 0.2836 0.7500  6 Na 2.80-3.10, 4 Pt 2.99-3.06
Na: 0.0000 0.7164 0.2500  6 Na 2.80-3.10, 4 Pt 2.99-3.06
Na: 0.0000 0.9546 0.7500  4 Na 2.80-2.95, 2 Pt 3.13
Na: 0.5000 0.2164 0.2500  6 Na 2.80-3.10, 4 Pt 2.99-3.06
Na: 0.5000 0.4546 0.7500  4 Na 2.80-2.95, 2 Pt 3.13
Na: 0.5000 0.5454 0.2500  4 Na 2.80-2.95, 2 Pt 3.13
Na: 0.5000 0.7836 0.7500  6 Na 2.80-3.10, 4 Pt 2.99-3.06
Pt: 0.0000 0.3786 0.2500  2 Pt 2.80, 6 Na 2.99-3.13
Pt: 0.0000 0.6214 0.7500  2 Pt 2.80, 6 Na 2.99-3.13
Pt: 0.5000 0.1214 0.7500  2 Pt 2.80, 6 Na 2.99-3.13
Pt: 0.5000 0.8786 0.2500  2 Pt 2.80, 6 Na 2.99-3.13

Calculated values
As for the space group: Cmcm, No. 63. The calculation puts the density of states at the Fermi level at 4.2 states/eV/cell. Its formation energy is -0.121 eV per atom.

***

8.
First-principles (PBE) data for RbSnF2 after structural relaxation, as listed in Alexandria.

abc: 3.7064 3.7064 23.7473
angles: 90.00 90.00 120.00
With the nearest neighbours (Å) after each atom.
Element x y z (fractional)
Rb: 0.0000 0.0000 0.0000  6 F 2.74
Rb: 0.3333 0.6667 0.6667  6 F 2.74
Rb: 0.6667 0.3333 0.3333  6 F 2.74
Sn: 0.0000 0.0000 0.5000  2 F 2.24
Sn: 0.3333 0.6667 0.1667  2 F 2.24
Sn: 0.6667 0.3333 0.8333  2 F 2.24
F: 0.0000 0.0000 0.4057  1 Sn 2.24
F: 0.0000 0.0000 0.5943  1 Sn 2.24
F: 0.3333 0.6667 0.0723  1 Sn 2.24
F: 0.3333 0.6667 0.2610  1 Sn 2.24
F: 0.6667 0.3333 0.7390  1 Sn 2.24
F: 0.6667 0.3333 0.9277  1 Sn 2.24

Calculated values
As for the space group: R-3m, No. 166. For the relative energy among the computed polymorphs, the calculation gives 0.0000 eV per atom. For the uncorrected formation energy, the calculation gives -2070 meV per atom. The calculation puts the density of states at the Fermi level at 1.6 states/eV/cell.

***

9.
First-principles (PBE) data for Np3SnPd12 after structural relaxation, as listed in Alexandria.

abc: 4.1253 4.1253 16.4237
angles: 90.00 90.00 90.00
With the nearest neighbours (Å) after each atom.
Element x y z (fractional)
Np: 0.0000 0.0000 0.0000  12 Pd 2.92-2.93
Np: 0.0000 0.0000 0.2536  12 Pd 2.91-2.93
Np: 0.0000 0.0000 0.7464  12 Pd 2.91-2.93
Sn: 0.0000 0.0000 0.5000  12 Pd 2.87-2.92
Pd: 0.0000 0.5000 0.1270  8 Pd 2.92-2.93, 4 Np 2.93
Pd: 0.0000 0.5000 0.3785  2 Sn 2.87, 8 Pd 2.87-2.92, 2 Np 2.91
Pd: 0.0000 0.5000 0.6215  2 Sn 2.87, 8 Pd 2.87-2.92, 2 Np 2.91
Pd: 0.0000 0.5000 0.8730  8 Pd 2.92-2.93, 4 Np 2.93
Pd: 0.5000 0.0000 0.1270  8 Pd 2.92-2.93, 4 Np 2.93
Pd: 0.5000 0.0000 0.3785  2 Sn 2.87, 8 Pd 2.87-2.92, 2 Np 2.91
Pd: 0.5000 0.0000 0.6215  2 Sn 2.87, 8 Pd 2.87-2.92, 2 Np 2.91
Pd: 0.5000 0.0000 0.8730  8 Pd 2.92-2.93, 4 Np 2.93
Pd: 0.5000 0.5000 0.0000  4 Np 2.92, 8 Pd 2.93
Pd: 0.5000 0.5000 0.2538  8 Pd 2.91-2.93, 4 Np 2.92
Pd: 0.5000 0.5000 0.5000  8 Pd 2.87, 4 Sn 2.92
Pd: 0.5000 0.5000 0.7462  8 Pd 2.91-2.93, 4 Np 2.92

Calculated values
As for the space group: P4/mmm, No. 123. The calculation puts the density of states at the Fermi level at 34.7 states/eV/cell. Its formation energy is -0.450 eV per atom.

***

10.
First-principles (PBE) data for Y2ThScS4 after structural relaxation, as listed in Alexandria.

abc: 6.7529 3.8788 6.8196
angles: 90.00 109.11 90.00
With the nearest neighbours (Å) after each atom.
Element x y z (fractional)
Y: 0.0000 0.0000 0.0000  6 S 2.71-2.72
Y: 0.0000 0.5000 0.5000  6 S 2.83
Th: 0.5000 0.0000 0.5000  6 S 2.81-2.82
Sc: 0.5000 0.5000 0.0000  6 S 2.70
S: 0.2469 0.5000 0.2350  1 Sc 2.70, 3 Y 2.71-2.83, 2 Th 2.82
S: 0.2576 0.0000 0.7655  2 Sc 2.70, 3 Y 2.72-2.83, 1 Th 2.81
S: 0.7424 0.0000 0.2345  2 Sc 2.70, 3 Y 2.72-2.83, 1 Th 2.81
S: 0.7531 0.5000 0.7650  1 Sc 2.70, 3 Y 2.71-2.83, 2 Th 2.82

Calculated values
As for the space group: P2/m, No. 10. For the uncorrected formation energy, the calculation gives -1883 meV per atom. The calculation puts the density of states at the Fermi level at 3.9 states/eV/cell.